La2TlGaGe after structural relaxation, computed with PBE.

Lattice parameters (Å, degrees): 7.4104 4.4250 9.3735 90.00 105.25 90.00
With the nearest neighbours (Å) after each atom.
Positions (direct):
La  0.2099  0.2500  0.4112  2 Ge 3.10, 3 Ga 3.28-3.46, 2 Tl 3.41
La  0.2567  0.2500  0.9812  3 Ge 2.91-3.10
La  0.7433  0.7500  0.0188  3 Ge 2.91-3.10
La  0.7901  0.7500  0.5888  2 Ge 3.10, 3 Ga 3.28-3.46, 2 Tl 3.41
Tl  0.2823  0.7500  0.6979  2 Ga 2.81
Tl  0.7177  0.2500  0.3021  2 Ga 2.81
Ga  0.4761  0.7500  0.2689  1 Ge 2.42
Ga  0.5239  0.2500  0.7311  1 Ge 2.42
Ge  0.1399  0.7500  0.1712  1 Ga 2.42
Ge  0.8601  0.2500  0.8288  1 Ga 2.42

Summary:
Final energy, eV per atom: -4.49

LaSmMgCd after structural relaxation, computed with PBE.

Lattice parameters (Å, degrees): 3.8873 3.8873 7.7754 90.00 90.00 90.00
With the nearest neighbours (Å) after each atom.
Positions (direct):
La  0.0000  0.0000  0.0000  4 Mg 3.42, 4 Cd 3.44
Sm  0.0000  0.0000  0.4998  4 Cd 3.30, 4 Mg 3.32
Mg  0.5000  0.5000  0.2612  4 Sm 3.32, 4 La 3.42, 1 Cd 3.68
Cd  0.5000  0.5000  0.7348  4 Sm 3.30, 4 La 3.44, 1 Mg 3.68

Summary:
Relative energy among the computed polymorphs, meV/atom: 0.0
Final energy, eV per atom: -3.25

LaNd2Ga2Sn2 after structural relaxation, computed with PBE.

Lattice parameters (Å, degrees): 10.7893 10.7893 10.7893 25.09 25.09 25.09
With the nearest neighbours (Å) after each atom.
Positions (direct):
La  0.0000  0.0000  0.0000  6 Sn 3.33
Nd  0.1282  0.1282  0.1282  3 Ga 3.01
Nd  0.8718  0.8718  0.8718  3 Ga 3.01
Ga  0.4195  0.4195  0.4195  3 Sn 2.81, 3 Nd 3.01
Ga  0.5805  0.5805  0.5805  3 Sn 2.81, 3 Nd 3.01
Sn  0.2717  0.2717  0.2717  3 Ga 2.81
Sn  0.7283  0.7283  0.7283  3 Ga 2.81

Summary:
Final energy, eV per atom: -4.52

One value per record, in order, for density: 6995 6020 6720 kg/m³.